Here is a relaxed structure of BaTcAsBr2 from Alexandria. Energies are from GGA-PBEsol.

a b c (Å): 5.998 5.998 6.424
angles (deg): 90.00 90.00 90.00
Fractional coordinates of all 5 atoms:
Ba: 0.000 0.000 0.000
Tc: 0.500 0.500 0.500
As: 0.000 0.000 0.500
Br: 0.000 0.500 0.000
Br: 0.500 0.000 0.000

The energy relative to the elements, uncorrected comes out at 386 kJ/mol of formula units.


Here is a relaxed structure of RbHg2Pd2 from Alexandria. Energies are from GGA-PBEsol.

a b c (Å): 8.239 8.239 3.037
angles (deg): 90.00 90.00 90.00
Fractional coordinates of all 10 atoms:
Rb: 0.000 0.000 0.000
Rb: 0.500 0.500 0.000
Hg: 0.169 0.331 0.500
Hg: 0.331 0.831 0.500
Hg: 0.669 0.169 0.500
Hg: 0.831 0.669 0.500
Pd: 0.124 0.624 0.000
Pd: 0.376 0.124 0.000
Pd: 0.624 0.876 0.000
Pd: 0.876 0.376 0.000

Its energy above the lowest structure with this stoichiometry is 0.000 eV per atom. The energy of formation is -0.155 eV/atom.


Here is a relaxed structure of Sc2InSb from Alexandria. Energies are from GGA-PBEsol.

a b c (Å): 5.832 5.832 5.832
angles (deg): 138.07 138.07 60.80
Fractional coordinates of all 4 atoms:
Sc: 0.000 0.000 0.000
Sc: 0.750 0.250 0.500
In: 0.500 0.500 0.000
Sb: 0.250 0.750 0.500

Its energy above the lowest structure with this stoichiometry is 0.000 eV per atom. The energy relative to the elements, uncorrected comes out at -258 kJ/mol of formula units.


Here is a relaxed structure of RbH2Cl from Alexandria. Energies are from GGA-PBEsol.

a b c (Å): 4.722 4.722 4.722
angles (deg): 60.00 60.00 60.00
Fractional coordinates of all 4 atoms:
Rb: 0.000 0.000 0.000
H: 0.250 0.250 0.250
H: 0.750 0.750 0.750
Cl: 0.500 0.500 0.500

For the total energy, the calculation gives -2.22 eV per atom.


Here is a relaxed structure of AgH2Pt from Alexandria. Energies are from GGA-PBEsol.

a b c (Å): 5.345 5.345 5.345
angles (deg): 132.97 132.97 68.71
Fractional coordinates of all 8 atoms:
Ag: 0.000 0.000 0.000
Ag: 0.750 0.250 0.500
H: 0.177 0.625 0.052
H: 0.375 0.427 0.552
H: 0.573 0.125 0.948
H: 0.875 0.823 0.448
Pt: 0.250 0.750 0.500
Pt: 0.500 0.500 0.000

For the total energy, the calculation gives -4.14 eV per atom.


Here is a relaxed structure of ScIr3S from Alexandria. Energies are from GGA-PBEsol.

a b c (Å): 4.642 4.642 4.642
angles (deg): 90.00 90.00 90.00
Fractional coordinates of all 5 atoms:
Sc: 0.000 0.000 0.000
Ir: 0.000 0.000 0.500
Ir: 0.000 0.500 0.000
Ir: 0.500 0.000 0.000
S: 0.500 0.500 0.500

The energy relative to the elements, uncorrected comes out at 1001 kJ/mol of formula units.


Here is a relaxed structure of AlCu2Te from Alexandria. Energies are from GGA-PBEsol.

a b c (Å): 6.231 6.231 6.231
angles (deg): 151.25 143.61 47.02
Fractional coordinates of all 4 atoms:
Al: 0.000 0.000 0.000
Cu: 0.356 0.856 0.500
Cu: 0.532 0.532 0.000
Te: 0.734 0.234 0.500

The energy relative to the elements, uncorrected comes out at 44 kJ/mol of formula units.


Here is a relaxed structure of YMg2Cd from Alexandria. Energies are from GGA-PBEsol.

a b c (Å): 3.307 3.307 8.606
angles (deg): 90.00 90.00 90.00
Fractional coordinates of all 4 atoms:
Y: 0.000 0.000 0.000
Mg: 0.500 0.500 0.278
Mg: 0.500 0.500 0.722
Cd: 0.000 0.000 0.500

The energy of formation is -0.116 eV/atom.


Here is a relaxed structure of CuTcMoPd2 from Alexandria. Energies are from GGA-PBEsol.

a b c (Å): 4.375 4.375 4.400
angles (deg): 90.00 90.00 90.00
Fractional coordinates of all 5 atoms:
Cu: 0.000 0.000 0.000
Tc: 0.000 0.000 0.500
Mo: 0.500 0.500 0.500
Pd: 0.000 0.500 0.000
Pd: 0.500 0.000 0.000

The energy of formation is 1.413 eV/atom.


Here is a relaxed structure of ReTc2W from Alexandria. Energies are from GGA-PBEsol.

a b c (Å): 9.131 9.131 9.131
angles (deg): 17.28 17.28 17.28
Fractional coordinates of all 4 atoms:
Re: 0.000 0.000 0.000
Tc: 0.252 0.252 0.252
Tc: 0.505 0.505 0.505
W: 0.753 0.753 0.753

Its energy above the lowest structure with this stoichiometry is 0.027 eV per atom. The energy of formation is 0.159 eV/atom.


Here is a relaxed structure of Ba2SrCd from Alexandria. Energies are from GGA-PBEsol.

a b c (Å): 7.511 7.511 7.511
angles (deg): 146.67 131.52 60.11
Fractional coordinates of all 4 atoms:
Ba: 0.209 0.209 0.000
Ba: 0.791 0.791 0.000
Sr: 0.500 0.000 0.500
Cd: 0.000 0.500 0.500

The energy of formation is -0.086 eV/atom.


Here is a relaxed structure of MnTlSe2N from Alexandria. Energies are from GGA-PBEsol.

a b c (Å): 5.360 5.360 4.141
angles (deg): 90.00 90.00 90.00
Fractional coordinates of all 5 atoms:
Mn: 0.000 0.000 0.000
Tl: 0.500 0.500 0.500
Se: 0.000 0.500 0.500
Se: 0.500 0.000 0.500
N: 0.500 0.500 0.000

Its energy above the lowest structure with this stoichiometry is 1.289 eV per atom. The energy relative to the elements, uncorrected comes out at 634 kJ/mol of formula units.


Here is a relaxed structure of TaBr2F from Alexandria. Energies are from GGA-PBEsol.

a b c (Å): 6.996 6.996 6.996
angles (deg): 94.84 94.84 146.21
Fractional coordinates of all 8 atoms:
Ta: 0.000 0.000 0.000
Ta: 0.750 0.250 0.500
Br: 0.375 0.030 0.155
Br: 0.780 0.625 0.655
Br: 0.875 0.220 0.845
Br: 0.970 0.125 0.345
F: 0.250 0.750 0.500
F: 0.500 0.500 0.000

Its energy above the lowest structure with this stoichiometry is 0.000 eV per atom. The energy relative to the elements, uncorrected comes out at -430 kJ/mol of formula units.


Here is a relaxed structure of MgTc2Pb from Alexandria. Energies are from GGA-PBEsol.

a b c (Å): 5.143 5.143 5.143
angles (deg): 134.82 134.82 65.81
Fractional coordinates of all 4 atoms:
Mg: 0.000 0.000 0.000
Tc: 0.250 0.750 0.500
Tc: 0.750 0.250 0.500
Pb: 0.500 0.500 0.000

The energy of formation is 0.631 eV/atom.


Here is a relaxed structure of LiZrSe from Alexandria. Energies are from GGA-PBEsol.

a b c (Å): 3.480 3.480 6.051
angles (deg): 90.00 90.00 120.00
Fractional coordinates of all 3 atoms:
Li: 0.000 0.000 0.000
Zr: 0.667 0.333 0.449
Se: 0.333 0.667 0.736

The energy relative to the elements, uncorrected comes out at -174 kJ/mol of formula units.


Here is a relaxed structure of Hf3TiBe from Alexandria. Energies are from GGA-PBEsol.

a b c (Å): 4.637 4.637 4.637
angles (deg): 90.00 90.00 90.00
Fractional coordinates of all 5 atoms:
Hf: 0.000 0.000 0.500
Hf: 0.000 0.500 0.000
Hf: 0.500 0.000 0.000
Ti: 0.500 0.500 0.500
Be: 0.000 0.000 0.000

The energy of formation is 0.536 eV/atom.


Here is a relaxed structure of Tb2GaCo2 from Alexandria. Energies are from GGA-PBEsol.

a b c (Å): 5.285 5.285 5.285
angles (deg): 135.48 119.48 78.16
Fractional coordinates of all 5 atoms:
Tb: 0.206 0.206 0.000
Tb: 0.794 0.794 0.000
Ga: 0.500 0.000 0.500
Co: 0.217 0.500 0.717
Co: 0.783 0.500 0.283

The energy of formation is -0.418 eV/atom.


Here is a relaxed structure of Al2IrOs from Alexandria. Energies are from GGA-PBEsol.

a b c (Å): 2.776 4.077 4.981
angles (deg): 90.00 92.58 90.00
Fractional coordinates of all 4 atoms:
Al: 0.215 0.000 0.246
Al: 0.785 0.000 0.754
Ir: 0.000 0.500 0.500
Os: 0.500 0.500 0.000

Its energy above the lowest structure with this stoichiometry is 0.411 eV per atom. The energy of formation is -0.286 eV/atom.


Here is a relaxed structure of Dy2InNi2 from Alexandria. Energies are from GGA-PBEsol.

a b c (Å): 7.265 7.265 3.588
angles (deg): 90.00 90.00 90.00
Fractional coordinates of all 10 atoms:
Dy: 0.175 0.325 0.000
Dy: 0.325 0.825 0.000
Dy: 0.675 0.175 0.000
Dy: 0.825 0.675 0.000
In: 0.000 0.000 0.500
In: 0.500 0.500 0.500
Ni: 0.119 0.619 0.500
Ni: 0.381 0.119 0.500
Ni: 0.619 0.881 0.500
Ni: 0.881 0.381 0.500

The energy of formation is -0.534 eV/atom.


Here is a relaxed structure of SrLaSe2N from Alexandria. Energies are from GGA-PBEsol.

a b c (Å): 5.548 5.548 4.511
angles (deg): 90.00 90.00 90.00
Fractional coordinates of all 5 atoms:
Sr: 0.000 0.000 0.000
La: 0.500 0.500 0.500
Se: 0.000 0.500 0.000
Se: 0.500 0.000 0.000
N: 0.000 0.000 0.500

The energy relative to the elements, uncorrected comes out at -140 kJ/mol of formula units.


Here is a relaxed structure of SiAsIrBr2 from Alexandria. Energies are from GGA-PBEsol.

a b c (Å): 5.109 5.109 4.612
angles (deg): 90.00 90.00 90.00
Fractional coordinates of all 5 atoms:
Si: 0.000 0.000 0.000
As: 0.500 0.500 0.000
Ir: 0.500 0.500 0.500
Br: 0.000 0.500 0.500
Br: 0.500 0.000 0.500

The energy relative to the elements, uncorrected comes out at 347 kJ/mol of formula units.


Here is a relaxed structure of Sr5Ca4 from Alexandria. Energies are from GGA-PBEsol.

a b c (Å): 9.026 9.026 9.026
angles (deg): 95.76 95.76 143.07
Fractional coordinates of all 9 atoms:
Sr: 0.000 0.000 0.000
Sr: 0.331 0.331 0.662
Sr: 0.331 0.669 0.000
Sr: 0.669 0.331 0.000
Sr: 0.669 0.669 0.338
Ca: 0.000 0.341 0.341
Ca: 0.000 0.659 0.659
Ca: 0.341 0.000 0.341
Ca: 0.659 0.000 0.659

The energy of formation is 0.014 eV/atom.


Here is a relaxed structure of LiNd2Rh from Alexandria. Energies are from GGA-PBEsol.

a b c (Å): 5.023 5.023 5.023
angles (deg): 60.00 60.00 60.00
Fractional coordinates of all 4 atoms:
Li: 0.000 0.000 0.000
Nd: 0.250 0.250 0.250
Nd: 0.750 0.750 0.750
Rh: 0.500 0.500 0.500

The energy of formation is -0.301 eV/atom.


Here is a relaxed structure of LaBiI2 from Alexandria. Energies are from GGA-PBEsol.

a b c (Å): 5.611 5.611 5.611
angles (deg): 60.00 60.00 60.00
Fractional coordinates of all 4 atoms:
La: 0.000 0.000 0.000
Bi: 0.500 0.500 0.500
I: 0.250 0.250 0.250
I: 0.750 0.750 0.750

The energy relative to the elements, uncorrected comes out at -249 kJ/mol of formula units.


Here is a relaxed structure of Ag3B5O9 from Alexandria. Energies are from GGA-PBEsol.

a b c (Å): 6.763 9.118 10.867
angles (deg): 90.00 90.00 90.00
Fractional coordinates of all 68 atoms:
Ag: 0.013 0.067 0.102
Ag: 0.080 0.303 0.512
Ag: 0.152 0.738 0.208
Ag: 0.348 0.262 0.708
Ag: 0.420 0.697 0.012
Ag: 0.487 0.933 0.602
Ag: 0.513 0.433 0.898
Ag: 0.580 0.197 0.488
Ag: 0.652 0.762 0.792
Ag: 0.848 0.238 0.292
Ag: 0.920 0.803 0.988
Ag: 0.987 0.567 0.398
B: 0.010 0.918 0.579
B: 0.029 0.045 0.777
B: 0.152 0.017 0.384
B: 0.173 0.767 0.767
B: 0.205 0.413 0.106
B: 0.295 0.587 0.606
B: 0.327 0.233 0.267
B: 0.348 0.983 0.884
B: 0.471 0.955 0.277
B: 0.490 0.082 0.079
B: 0.510 0.582 0.421
B: 0.529 0.455 0.223
B: 0.652 0.483 0.616
B: 0.673 0.733 0.233
B: 0.705 0.087 0.894
B: 0.795 0.913 0.394
B: 0.827 0.267 0.733
B: 0.848 0.517 0.116
B: 0.971 0.545 0.723
B: 0.990 0.418 0.921
O: 0.035 0.894 0.708
O: 0.049 0.650 0.808
O: 0.058 0.522 0.153
O: 0.095 0.526 0.614
O: 0.167 0.970 0.514
O: 0.168 0.387 0.973
O: 0.188 0.275 0.173
O: 0.234 0.079 0.805
O: 0.238 0.166 0.376
O: 0.262 0.834 0.876
O: 0.266 0.921 0.305
O: 0.312 0.725 0.673
O: 0.332 0.613 0.473
O: 0.333 0.030 0.014
O: 0.405 0.474 0.114
O: 0.442 0.478 0.653
O: 0.451 0.350 0.308
O: 0.465 0.106 0.208
O: 0.535 0.606 0.292
O: 0.549 0.850 0.192
O: 0.558 0.978 0.847
O: 0.595 0.974 0.386
O: 0.667 0.530 0.486
O: 0.668 0.113 0.027
O: 0.688 0.225 0.827
O: 0.734 0.421 0.195
O: 0.738 0.334 0.624
O: 0.762 0.666 0.124
O: 0.766 0.579 0.695
O: 0.812 0.775 0.327
O: 0.832 0.887 0.527
O: 0.833 0.470 0.986
O: 0.905 0.026 0.886
O: 0.942 0.022 0.347
O: 0.951 0.150 0.692
O: 0.965 0.394 0.792

The energy relative to the elements, uncorrected comes out at -2985 kJ/mol of formula units.